A relaxed DyGa3Ir crystal. Source: the Alexandria database, functional PBE.

Geometry as POSCAR:
```
DyGa3Ir
1.0
4.0515 0.0000 0.0000
0.0000 5.3270 0.0000
0.0000 -2.6635 4.4982
Ir Dy Ga
1 1 3
Direct
0.0000 0.4348 0.8695 Ir
0.5000 0.9320 0.8639 Dy
0.0000 0.4334 0.3900 Ga
0.0000 0.9566 0.3900 Ga
0.5000 0.5979 0.1958 Ga
```

Properties
Calculated formation energy (eV/atom): -0.446
Excess energy over the best structure of this formula in the dataset (meV/atom): 231
E (eV per cell): -24.8
SG: No. 38

***

A relaxed Er2ScCd4 crystal. Source: the Alexandria database, functional PBE.

Geometry as POSCAR:
```
Er2ScCd4
1.0
-1.8683 -1.9199 -4.6582
-2.5139 -3.9502 2.6364
-4.0357 7.3501 1.6886
Sc Er Cd
1 2 4
Direct
0.0000 0.0000 0.0000 Sc
0.3933 0.3933 0.7865 Er
0.6067 0.6067 0.2135 Er
0.8102 0.8102 0.6204 Cd
0.1898 0.1898 0.3796 Cd
0.5000 0.0000 0.0000 Cd
0.0000 0.5000 0.0000 Cd
```

Properties
Calculated formation energy (eV/atom): 0.272
Excess energy over the best structure of this formula in the dataset (meV/atom): 383
E (eV per cell): -17.2
SG: No. 139

***

A relaxed Pr3YHg12 crystal. Source: the Alexandria database, functional PBE.

Geometry as POSCAR:
```
Pr3YHg12
1.0
4.6822 0.0000 0.0000
0.0000 4.6822 0.0000
0.0000 0.0000 18.9747
Hg Y Pr
12 1 3
Direct
0.0000 0.5000 0.3733 Hg
0.5000 0.0000 0.6267 Hg
0.5000 0.5000 0.7538 Hg
0.5000 0.5000 0.2462 Hg
0.5000 0.5000 0.0000 Hg
0.0000 0.5000 0.1204 Hg
0.5000 0.0000 0.8796 Hg
0.5000 0.5000 0.5000 Hg
0.5000 0.0000 0.3733 Hg
0.5000 0.0000 0.1204 Hg
0.0000 0.5000 0.8796 Hg
0.0000 0.5000 0.6267 Hg
0.0000 0.0000 0.0000 Y
0.0000 0.0000 0.7542 Pr
0.0000 0.0000 0.5000 Pr
0.0000 0.0000 0.2458 Pr
```

Properties
Calculated formation energy (eV/atom): -0.347
E (eV per cell): -30.0
SG: No. 123

***

A relaxed LaGeTe2As crystal. Source: the Alexandria database, functional PBE.

Geometry as POSCAR:
```
LaGeTe2As
1.0
-3.9037 1.5108 -3.6311
-3.4595 -1.9530 2.9066
-0.5486 4.8570 2.6106
La Te Ge As
1 2 1 1
Direct
0.5000 0.5000 0.5000 La
0.5000 0.0000 0.0000 Te
0.0000 0.0000 0.5000 Te
0.0000 0.5000 0.0000 Ge
0.0000 0.0000 0.0000 As
```

Properties
E (eV per cell): -21.5
SG: No. 123
Raw formation energy (eV per atom): -0.2105

***

A relaxed KCdW2 crystal. Source: the Alexandria database, functional PBE.

Geometry as POSCAR:
```
KCdW2
1.0
-1.0607 -5.4929 2.2715
2.6820 -5.0842 -1.8477
1.2155 5.6744 1.6673
Cd W K
1 2 1
Direct
0.2500 0.7500 0.5000 Cd
0.0000 0.0000 0.0000 W
0.5000 0.5000 0.0000 W
0.7500 0.2500 0.5000 K
```

Properties
Calculated formation energy (eV/atom): 1.606
E (eV per cell): -21.5
SG: No. 139

***

A relaxed PmPaSbPd crystal. Source: the Alexandria database, functional PBE.

Geometry as POSCAR:
```
PmPaSbPd
1.0
-1.4164 4.6608 -1.9226
-2.5400 3.4246 3.0408
2.4180 4.3497 1.6307
Pd Pm Sb Pa
1 1 1 1
Direct
0.0000 0.0000 0.0000 Pd
0.2500 0.2500 0.2500 Pm
0.5000 0.5000 0.5000 Sb
0.7500 0.7500 0.7500 Pa
```

Properties
E (eV per cell): -25.3
SG: No. 216
Raw formation energy (eV per atom): -0.4320